No. 1
Entry from Alexandria: a relaxed BeTeSe2 crystal (GGA-PBE).

The structure in POSCAR format:
```
BeTeSe2
1.0
4.876 0.000 0.000
0.000 4.876 0.000
0.000 0.000 3.448
Be Te Se
1 1 2
Direct
0.000 0.000 0.000
0.500 0.500 0.000
0.000 0.500 0.500
0.500 0.000 0.500
```

**DFT total energy**: -11.5 eV/cell
**Relative energy among the computed polymorphs**: 697 meV per atom
**SG**: P4/mmm, No. 123

No. 2
Entry from Alexandria: a relaxed BeTeSe2 crystal (GGA-PBE).

The structure in POSCAR format:
```
BeTeSe2
1.0
5.755 0.000 0.000
0.000 7.600 0.000
0.000 0.000 3.901
Be Te Se
2 2 4
Direct
0.000 0.000 0.000
0.500 0.500 0.000
0.000 0.500 0.000
0.500 0.000 0.000
0.250 0.250 0.500
0.250 0.750 0.500
0.750 0.250 0.500
0.750 0.750 0.500
```

**DFT total energy**: -22.4 eV/cell
**Relative energy among the computed polymorphs**: 771 meV per atom
**SG**: Cmmm, No. 65

No. 3
Entry from Alexandria: a relaxed BeTeSe2 crystal (GGA-PBE).

The structure in POSCAR format:
```
BeTeSe2
1.0
3.536 0.000 0.000
0.000 4.640 0.000
0.000 0.000 11.698
Be Te Se
2 2 4
Direct
0.000 0.000 0.000
0.500 0.500 0.500
0.000 0.500 0.302
0.500 0.000 0.802
0.000 0.000 0.424
0.000 0.500 0.607
0.500 0.000 0.107
0.500 0.500 0.924
```

**DFT total energy**: -27.1 eV/cell
**Relative energy among the computed polymorphs**: 183 meV per atom
**SG**: Imm2, No. 44

No. 4
Entry from Alexandria: a relaxed BeTeSe2 crystal (GGA-PBE).

The structure in POSCAR format:
```
BeTeSe2
1.0
4.986 0.000 0.000
-2.493 4.318 0.000
0.000 0.000 18.595
Be Te Se
3 3 6
Direct
0.000 0.000 0.000
0.333 0.667 0.667
0.667 0.333 0.333
0.000 0.000 0.500
0.333 0.667 0.167
0.667 0.333 0.833
0.000 0.000 0.110
0.000 0.000 0.890
0.333 0.667 0.557
0.333 0.667 0.776
0.667 0.333 0.224
0.667 0.333 0.443
```

**DFT total energy**: -39.2 eV/cell
**Relative energy among the computed polymorphs**: 303 meV per atom
**SG**: R-3m, No. 166

No. 5
Entry from Alexandria: a relaxed BeTeSe2 crystal (GGA-PBE).

The structure in POSCAR format:
```
BeTeSe2
1.0
3.667 0.000 0.000
0.000 3.667 0.000
0.000 0.000 18.000
Be Te Se
2 2 4
Direct
0.000 0.000 0.000
0.500 0.500 0.500
0.000 0.000 0.500
0.500 0.500 0.000
0.000 0.500 0.250
0.000 0.500 0.750
0.500 0.000 0.250
0.500 0.000 0.750
```

**DFT total energy**: -25.1 eV/cell
**Relative energy among the computed polymorphs**: 434 meV per atom
**SG**: I4/mmm, No. 139

No. 6
Entry from Alexandria: a relaxed Be2TeSe2 crystal (GGA-PBE).

The structure in POSCAR format:
```
Be2TeSe2
1.0
3.461 0.000 0.000
0.000 3.461 0.000
0.000 0.000 22.648
Be Te Se
4 2 4
Direct
0.000 0.500 0.250
0.000 0.500 0.750
0.500 0.000 0.250
0.500 0.000 0.750
0.000 0.000 0.000
0.500 0.500 0.500
0.000 0.000 0.312
0.000 0.000 0.688
0.500 0.500 0.188
0.500 0.500 0.812
```

**DFT total energy**: -39.1 eV/cell
**Relative energy among the computed polymorphs**: 0 meV per atom
**SG**: I4/mmm, No. 139

No. 7
Entry from Alexandria: a relaxed Be2TeSe crystal (GGA-PBE).

The structure in POSCAR format:
```
Be2TeSe
1.0
3.479 0.000 0.000
0.000 3.479 0.000
0.000 0.000 6.907
Be Te Se
2 1 1
Direct
0.000 0.000 0.000
0.500 0.500 0.234
0.500 0.500 0.875
0.000 0.000 0.319
```

**DFT total energy**: -14.4 eV/cell
**Relative energy among the computed polymorphs**: 477 meV per atom
**SG**: P4mm, No. 99

No. 8
Entry from Alexandria: a relaxed BeTe3Se crystal (GGA-PBE).

The structure in POSCAR format:
```
BeTe3Se
1.0
4.959 0.000 0.000
0.000 4.959 0.000
0.000 0.000 4.959
Be Te Se
1 3 1
Direct
0.000 0.000 0.000
0.000 0.000 0.500
0.000 0.500 0.000
0.500 0.000 0.000
0.500 0.500 0.500
```

**DFT total energy**: -14.4 eV/cell
**Relative energy among the computed polymorphs**: 0 meV per atom
**SG**: Pm-3m, No. 221

No. 9
Entry from Alexandria: a relaxed Be2TeSe crystal (GGA-PBE).

The structure in POSCAR format:
```
Be2TeSe
1.0
6.864 0.000 0.000
0.000 6.872 0.000
-1.730 0.000 4.679
Be Te Se
4 2 2
Direct
0.250 0.250 0.000
0.250 0.750 0.000
0.750 0.250 0.000
0.750 0.750 0.000
0.000 0.000 0.000
0.500 0.500 0.000
0.000 0.500 0.000
0.500 0.000 0.000
```

**DFT total energy**: -26.1 eV/cell
**Relative energy among the computed polymorphs**: 814 meV per atom
**SG**: C2/m, No. 12

No. 10
Entry from Alexandria: a relaxed BeTe3Se crystal (GGA-PBE).

The structure in POSCAR format:
```
BeTe3Se
1.0
5.444 0.000 0.000
0.000 5.444 0.000
0.000 0.000 5.444
Be Te Se
1 3 1
Direct
0.000 0.000 0.000
0.000 0.500 0.500
0.500 0.000 0.500
0.500 0.500 0.000
0.500 0.500 0.500
```

**DFT total energy**: -11.6 eV/cell
**Relative energy among the computed polymorphs**: 552 meV per atom
**SG**: Pm-3m, No. 221

No. 11
Entry from Alexandria: a relaxed Be2TeSe2 crystal (GGA-PBE).

The structure in POSCAR format:
```
Be2TeSe2
1.0
9.074 0.000 0.000
0.000 9.074 0.000
0.000 0.000 3.571
Be Te Se
4 2 4
Direct
0.228 0.272 0.000
0.272 0.772 0.000
0.728 0.228 0.000
0.772 0.728 0.000
0.000 0.000 0.500
0.500 0.500 0.500
0.152 0.348 0.500
0.348 0.848 0.500
0.652 0.152 0.500
0.848 0.652 0.500
```

**DFT total energy**: -32.3 eV/cell
**Relative energy among the computed polymorphs**: 686 meV per atom
**SG**: P4/mbm, No. 127

No. 12
Entry from Alexandria: a relaxed BeTeSe2 crystal (GGA-PBE).

The structure in POSCAR format:
```
BeTeSe2
1.0
3.667 0.000 0.000
0.000 3.667 0.000
0.000 0.000 9.045
Be Te Se
1 1 2
Direct
0.000 0.000 0.000
0.500 0.500 0.000
0.000 0.500 0.500
0.500 0.000 0.500
```

**DFT total energy**: -12.6 eV/cell
**Relative energy among the computed polymorphs**: 427 meV per atom
**SG**: P4/mmm, No. 123

No. 13
Entry from Alexandria: a relaxed Be2TeSe crystal (GGA-PBE).

The structure in POSCAR format:
```
Be2TeSe
1.0
3.379 0.000 0.000
0.000 9.381 0.000
0.000 0.000 6.928
Be Te Se
4 2 2
Direct
0.000 0.000 0.224
0.000 0.000 0.776
0.500 0.500 0.224
0.500 0.500 0.776
0.000 0.500 0.500
0.500 0.000 0.500
0.000 0.500 0.000
0.500 0.000 0.000
```

**DFT total energy**: -26.6 eV/cell
**Relative energy among the computed polymorphs**: 753 meV per atom
**SG**: Cmmm, No. 65

No. 14
Entry from Alexandria: a relaxed BeTeSe2 crystal (GGA-PBE).

The structure in POSCAR format:
```
BeTeSe2
1.0
3.317 0.000 0.000
0.000 3.317 0.000
0.000 0.000 7.927
Be Te Se
1 1 2
Direct
0.000 0.000 0.000
0.500 0.500 0.582
0.000 0.000 0.270
0.500 0.500 0.916
```

**DFT total energy**: -13.9 eV/cell
**Relative energy among the computed polymorphs**: 95 meV per atom
**SG**: P4mm, No. 99

No. 15
Entry from Alexandria: a relaxed Tm8BeTe4Se3 crystal (GGA-PBE).

The structure in POSCAR format:
```
Tm8BeTe4Se3
1.0
4.127 2.383 6.963
-4.127 2.383 6.963
0.000 -4.766 6.963
Tm Be Te Se
8 1 4 3
Direct
0.240 0.240 0.240
0.262 0.725 0.725
0.275 0.275 0.738
0.275 0.738 0.275
0.725 0.262 0.725
0.725 0.725 0.262
0.738 0.275 0.275
0.760 0.760 0.760
0.500 0.500 0.500
0.000 0.000 0.000
0.000 0.500 0.500
0.500 0.000 0.500
0.500 0.500 0.000
0.000 0.000 0.500
0.000 0.500 0.000
0.500 0.000 0.000
```

**DFT total energy**: -82.8 eV/cell
**SG**: R-3m, No. 166

No. 16
Entry from Alexandria: a relaxed Be2TeWSe crystal (GGA-PBE).

The structure in POSCAR format:
```
Be2TeWSe
1.0
4.317 0.000 0.000
0.000 4.317 0.000
0.000 0.000 4.880
Be Te W Se
2 1 1 1
Direct
0.000 0.500 0.000
0.500 0.000 0.000
0.000 0.000 0.500
0.500 0.500 0.500
0.500 0.500 0.000
```

**DFT total energy**: -21.3 eV/cell
**SG**: P4/mmm, No. 123

No. 17
Entry from Alexandria: a relaxed Th4BeSe3 crystal (GGA-PBE).

The structure in POSCAR format:
```
Th4BeSe3
1.0
7.314 0.000 0.000
0.000 8.355 0.000
-2.367 0.000 6.898
Th Be Se
8 2 6
Direct
0.231 0.115 0.002
0.231 0.885 0.502
0.237 0.365 0.487
0.237 0.635 0.987
0.763 0.365 0.013
0.763 0.635 0.513
0.769 0.115 0.498
0.769 0.885 0.998
0.000 0.128 0.250
0.000 0.872 0.750
0.000 0.374 0.750
0.000 0.626 0.250
0.500 0.128 0.750
0.500 0.377 0.250
0.500 0.623 0.750
0.500 0.872 0.250
```

**DFT total energy**: -105.5 eV/cell
**SG**: P2/c, No. 13

No. 18
Entry from Alexandria: a relaxed Th5BeSe4 crystal (GGA-PBE).

The structure in POSCAR format:
```
Th5BeSe4
1.0
-4.715 4.715 2.957
4.715 -4.715 2.957
4.715 4.715 -2.957
Th Be Se
5 1 4
Direct
0.000 0.000 0.000
0.214 0.400 0.614
0.400 0.786 0.186
0.600 0.214 0.814
0.786 0.600 0.386
0.500 0.500 0.000
0.095 0.696 0.791
0.304 0.095 0.399
0.696 0.905 0.601
0.905 0.304 0.209
```

**DFT total energy**: -66.9 eV/cell
**SG**: I4/m, No. 87

No. 19
Entry from Alexandria: a relaxed Th2BeSe crystal (GGA-PBE).

The structure in POSCAR format:
```
Th2BeSe
1.0
4.163 0.000 0.000
-2.082 3.605 0.000
0.000 0.000 20.796
Th Be Se
6 3 3
Direct
0.000 0.000 0.243
0.000 0.000 0.757
0.333 0.667 0.424
0.333 0.667 0.909
0.667 0.333 0.091
0.667 0.333 0.576
0.000 0.000 0.500
0.333 0.667 0.167
0.667 0.333 0.833
0.000 0.000 0.000
0.333 0.667 0.667
0.667 0.333 0.333
```

**DFT total energy**: -73.3 eV/cell
**SG**: R-3m, No. 166

No. 20
Entry from Alexandria: a relaxed TiBeSe3 crystal (GGA-PBE).

The structure in POSCAR format:
```
TiBeSe3
1.0
4.559 0.000 0.000
0.000 4.559 0.000
0.000 0.000 4.559
Ti Be Se
1 1 3
Direct
0.000 0.000 0.000
0.500 0.500 0.500
0.000 0.500 0.500
0.500 0.000 0.500
0.500 0.500 0.000
```

**DFT total energy**: -21.4 eV/cell
**Relative energy among the computed polymorphs**: 0 meV per atom
**SG**: Pm-3m, No. 221